KTbTlHg PBE relaxed; space group = F-43m, No. 216; size of the total moment = 0.000 μB/atom; energy of formation from the pure elements = -0.44 eV/f.u.
1.0
0.0000 3.9096 3.9096
3.9096 0.0000 3.9096
3.9096 3.9096 0.0000
K Tb Tl Hg
1 1 1 1
direct
0.0000 0.0000 0.0000
0.5000 0.5000 0.5000
0.2500 0.2500 0.2500
0.7500 0.7500 0.7500